# 1
The following is a DFT calculation (PBE) of an optimized crystal structure of InRe2TcPt.

Results
M_tot	0.02	μB/atom
ΔE_f	2.754	eV/atom
energy	-6.05	eV/atom

a b c (Å): 4.8813 4.7553 4.8813
angles (deg): 90.00 90.00 90.00
Site moments in Bohr magnetons follow the coordinates.
Sites, in units of the cell vectors:
Pt 0.0000 0.5000 0.0000  -0.06
Re 0.0000 0.0000 0.5000  -1.69
Re 0.5000 0.0000 0.0000  -1.29
Tc 0.5000 0.5000 0.5000  3.15
In 0.0000 0.0000 0.0000  0.01

# 2
The following is a DFT calculation (PBE) of an optimized crystal structure of LaSi2Pd.

Results
M_tot	0.00	μB/atom
E_form (uncorrected)	-0.27	eV/atom
energy	-5.51	eV/atom

a b c (Å): 4.7940 4.7940 4.7940
angles (deg): 60.00 60.00 60.00
Sites, in units of the cell vectors:
Si 0.7500 0.7500 0.7500
Si 0.2500 0.2500 0.2500
Pd 0.0000 0.0000 0.0000
La 0.5000 0.5000 0.5000

# 3
The following is a DFT calculation (PBE) of an optimized crystal structure of Ca2ZrTc.

Results
M_tot	0.00	μB/atom
polymorph energy (0 for the lowest one)	486	meV per atom
ΔE_f	0.573	eV/atom
energy	-5.16	eV/atom

a b c (Å): 5.2566 3.0828 6.0402
angles (deg): 72.04 90.00 90.00
Sites, in units of the cell vectors:
Tc 0.5000 0.2500 0.2500
Ca 0.0000 0.4505 0.4882
Ca 0.0000 0.0495 0.0118
Zr 0.5000 0.7500 0.7500

# 4
The following is a DFT calculation (PBE) of an optimized crystal structure of Tb3DySc6.

Results
M_tot	0.00	μB/atom
polymorph energy (0 for the lowest one)	0	meV per atom
ΔE_f	0.159	eV/atom
energy	-5.49	eV/atom

a b c (Å): 5.8646 10.4014 10.4014
angles (deg): 119.42 90.00 90.00
Sites, in units of the cell vectors:
Sc 0.5149 0.6146 0.7227
Sc 0.0149 0.3854 0.2773
Sc 0.6332 0.2923 0.7077
Sc 0.5149 0.2773 0.3854
Sc 0.0149 0.7227 0.6146
Sc 0.4358 0.9500 0.0500
Sc 0.3607 0.0228 0.4544
Sc 0.3607 0.5456 0.9772
Sc 0.9358 0.0500 0.9500
Sc 0.1332 0.7077 0.2923
Sc 0.8607 0.4544 0.0228
Sc 0.8607 0.9772 0.5456
Tb 0.4681 0.2809 0.0718
Tb 0.0614 0.3979 0.6021
Tb 0.9681 0.7191 0.9282
Tb 0.4681 0.9282 0.7191
Tb 0.5614 0.6021 0.3979
Tb 0.9681 0.0718 0.2809
Dy 0.6677 0.7864 0.2136
Dy 0.1677 0.2136 0.7864

Number 1: volume 22.66 Å³/atom. Number 2: volume 19.48 Å³/atom. Number 3: volume 23.28 Å³/atom. Number 4: volume 27.63 Å³/atom.